A relaxed Ta2ZnH2 crystal, computed with PBE-GGA.

Results
Its final energy is -6.3661 eV per atom. Its space group is I4/mmm.

abc: 5.085 5.085 5.085
angles: 138.67 138.67 59.87
Positions (direct):
1 Ta 0.164 0.164 0.000
2 Ta 0.836 0.836 0.000
3 Zn 0.500 0.500 0.000
4 H 0.250 0.750 0.500
5 H 0.750 0.250 0.500

A relaxed KAl2Cl crystal, computed with PBE-GGA.

Results
Its uncorrected formation energy is -0.43 eV per atom. The energy above the lowest structure with this stoichiometry is 0.014 eV/atom. Its space group is Pmm2.

abc: 3.237 4.283 8.170
angles: 90.00 90.00 90.00
Positions (direct):
1 K 0.000 0.000 0.000
2 Al 0.000 0.000 0.433
3 Al 0.500 0.500 0.525
4 Cl 0.500 0.500 0.830

Number 1: total moment 0.00 μB/cell. Number 2: total moment 0.00 μB/cell.